1.
TaSO3 | PBE | relaxed

POSCAR file:
```
TaSO3
1.0
-1.6999 1.8411 2.8637
2.4786 -1.5249 2.4517
2.3338 2.9606 -0.5180
O S Ta
3 1 1
Direct
0.0000 0.5000 0.0000 O
0.5000 0.0000 0.0000 O
0.0000 0.0000 0.5000 O
0.0000 0.0000 0.0000 S
0.5000 0.5000 0.5000 Ta
```

Results
size of the total moment	2.6	μB/f.u.
formation energy (no corrections)	31.9	kJ/mol of atoms
symmetry	Pm-3m (221)


2.
TaSO3 | PBE | relaxed

POSCAR file:
```
TaSO3
1.0
3.9136 0.3851 -0.0691
1.9959 5.9157 -1.0015
0.5022 -1.2609 8.1622
O S Ta
6 2 2
Direct
0.6435 0.5151 0.3962 O
0.9979 0.8225 0.3623 O
0.3273 0.1650 0.3983 O
0.3703 0.4773 0.6921 O
0.7247 0.7847 0.6583 O
0.0408 0.1348 0.6562 O
0.0269 0.7071 0.1387 S
0.3413 0.5927 0.9157 S
0.9183 0.4202 0.5717 Ta
0.4498 0.8796 0.4828 Ta
```

Results
size of the total moment	0.0	μB/f.u.
formation energy (no corrections)	-164.3	kJ/mol of atoms
symmetry	P-1 (2)